Version P
Computed, not measured: crystalline La4Cu3MoO12 at its relaxed geometry at the PBE with a Hubbard U level of DFT.

Cell lengths 6.941, 10.943, 7.993 Å; angles 90.00, 90.01, 90.00 degrees
Space group P2_1/m (No. 11)
Inequivalent atoms, fractional coordinates:
La  0.238  0.000  0.130 x4
La  0.249  0.003  0.620 x4
Cu  0.109  0.750  0.840 x2
Cu  0.113  0.750  0.411 x2
Cu  0.455  0.250  0.368 x2
Mo  0.419  0.250  0.878 x2
O  0.082  0.582  0.871 x4
O  0.086  0.584  0.379 x4
O  0.264  0.750  0.627 x2
O  0.286  0.250  0.078 x2
O  0.286  0.250  0.678 x2
O  0.314  0.750  0.124 x2
O  0.416  0.084  0.373 x4
O  0.419  0.074  0.877 x4

Version Q
Computed, not measured: crystalline La4Cu3MoO12 at its relaxed geometry at the PBE with a Hubbard U level of DFT.

Cell lengths 7.918, 7.918, 7.918 Å; angles 90.00, 90.00, 90.00 degrees
Space group Im-3m (No. 229)
Inequivalent atoms, fractional coordinates:
La  0.250  0.250  0.250 x8
Cu  0.000  0.000  0.500 x6
Mo  0.000  0.000  0.000 x2
O  0.000  0.000  0.242 x12
O  0.000  0.250  0.500 x12

Which structure above is the least stable one? version Q is the least stable one.